Computed, not measured: a relaxed structure of SrCd12Rh6 at the PBE level of DFT.

a = 12.2859 Å, b = 12.2859 Å, c = 9.4930 Å
α = 90.00°, β = 90.00°, γ = 120.00°
Closest atoms and distances in Å follow each position.
Space group R-3m (No. 166, hexagonal axes)
Inequivalent atoms, fractional coordinates:
1 Sr 0.0000 0.0000 0.0000 [3 per cell]  6 Cd 3.67, 6 Rh 4.09
2 Cd 0.0000 0.3821 0.5000 [18 per cell]  4 Rh 2.71-2.73, 1 Cd 2.90
3 Cd 0.0867 0.1734 0.3339 [18 per cell]  3 Rh 2.76, 2 Cd 3.07
4 Rh 0.0453 0.5227 0.2616 [18 per cell]  7 Cd 2.71-2.76

Values from the calculation:
Total magnetization = 0.000 μB per formula unit
Energy of formation = -22 meV per atom
E = -3.010 eV/atom

Computed, not measured: a relaxed structure of Sr4CdRh2 at the PBE level of DFT.

a = 12.4064 Å, b = 9.1318 Å, c = 8.6521 Å
α = 90.00°, β = 109.86°, γ = 90.00°
Closest atoms and distances in Å follow each position.
Space group Cm (No. 8)
Inequivalent atoms, fractional coordinates:
1 Sr 0.0000 0.0000 0.0000 [2 per cell]  3 Rh 3.18-3.46, 2 Cd 3.27-3.42
2 Sr 0.0045 0.0000 0.5304 [2 per cell]  3 Rh 3.15-3.22, 2 Cd 3.31-3.38
3 Sr 0.0186 0.5000 0.0219 [2 per cell]  4 Rh 3.04-3.37
4 Sr 0.0267 0.5000 0.5256 [2 per cell]  4 Rh 3.01-3.28
5 Sr 0.2804 0.2798 0.1576 [4 per cell]  3 Rh 3.00-3.15
6 Sr 0.2960 0.2697 0.6618 [4 per cell]  4 Rh 3.08-3.41, 2 Cd 3.41-3.42
7 Cd 0.2179 0.0000 0.3699 [2 per cell]  7 Sr 3.38-3.60
8 Cd 0.2234 0.0000 0.8808 [2 per cell]  2 Rh 2.75
9 Rh 0.0881 0.2466 0.8113 [4 per cell]  1 Rh 2.68, 1 Cd 2.75
10 Rh 0.2037 0.5000 0.8648 [2 per cell]  2 Rh 2.68
11 Rh 0.2348 0.5000 0.3850 [2 per cell]  6 Sr 3.00-3.21

Values from the calculation:
Total magnetization = 0.000 μB per formula unit
Energy of formation = -221 meV per atom
E = -3.413 eV/atom

Computed, not measured: a relaxed structure of SrCd2Rh at the PBE level of DFT.

a = 4.4228 Å, b = 4.4228 Å, c = 9.1724 Å
α = 90.00°, β = 90.00°, γ = 90.00°
Closest atoms and distances in Å follow each position.
Space group I4/mmm (No. 139)
Inequivalent atoms, fractional coordinates:
1 Sr 0.0000 0.0000 0.0000 [2 per cell]  4 Rh 3.13, 8 Cd 3.19
2 Cd 0.0000 0.5000 0.2500 [4 per cell]  4 Cd 3.13, 4 Rh 3.19, 4 Sr 3.19
3 Rh 0.0000 0.0000 0.5000 [2 per cell]  4 Sr 3.13, 8 Cd 3.19

Values from the calculation:
Total magnetization = 0.000 μB per formula unit
Energy of formation = -147 meV per atom
E = -2.863 eV/atom

Computed, not measured: a relaxed structure of SrCdRh3 at the PBE level of DFT.

a = 4.9491 Å, b = 4.9491 Å, c = 4.9491 Å
α = 90.00°, β = 90.00°, γ = 90.00°
Closest atoms and distances in Å follow each position.
Space group Pm-3m (No. 221)
Inequivalent atoms, fractional coordinates:
1 Sr 0.0000 0.0000 0.0000 [1 per cell]  6 Rh 2.47
2 Cd 0.5000 0.5000 0.5000 [1 per cell]  12 Rh 3.50
3 Rh 0.0000 0.0000 0.5000 [3 per cell]  2 Sr 2.47

Values from the calculation:
Total magnetization = 0.902 μB per formula unit
Energy of formation = 1544 meV per atom
E = -3.386 eV/atom
E above lowest polymorph = 72.9 kJ/mol of atoms

Computed, not measured: a relaxed structure of SrCdTcRh2 at the PBE level of DFT.

a = 4.7653 Å, b = 4.7653 Å, c = 5.2165 Å
α = 90.00°, β = 90.00°, γ = 90.00°
Closest atoms and distances in Å follow each position.
Space group P4/mmm (No. 123)
Inequivalent atoms, fractional coordinates:
1 Sr 0.0000 0.0000 0.0000 [1 per cell]  4 Cd 3.37, 8 Rh 3.53
2 Cd 0.5000 0.5000 0.0000 [1 per cell]  2 Tc 2.61
3 Tc 0.5000 0.5000 0.5000 [1 per cell]  4 Rh 2.38, 2 Cd 2.61
4 Rh 0.0000 0.5000 0.5000 [2 per cell]  2 Tc 2.38

Values from the calculation:
Total magnetization = 0.000 μB per formula unit
Energy of formation = 394 meV per atom
E = -5.139 eV/atom

Computed, not measured: a relaxed structure of Sr2CdTeRh at the PBE level of DFT.

a = 5.7181 Å, b = 5.7181 Å, c = 5.0951 Å
α = 90.00°, β = 90.00°, γ = 90.00°
Closest atoms and distances in Å follow each position.
Space group P4/mmm (No. 123)
Inequivalent atoms, fractional coordinates:
1 Sr 0.0000 0.5000 0.0000 [2 per cell]  2 Rh 2.86
2 Cd 0.0000 0.0000 0.5000 [1 per cell]  2 Rh 2.55
3 Te 0.5000 0.5000 0.5000 [1 per cell]  8 Sr 3.83, 4 Cd 4.04
4 Rh 0.0000 0.0000 0.0000 [1 per cell]  2 Cd 2.55

Values from the calculation:
Total magnetization = 0.000 μB per formula unit
ΔE_f (raw) = -0.59 eV per atom
E = -3.548 eV/atom